1.
VASP calculation (PBE) on Na7In2Hg2 after structural relaxation.

a = 4.929 Å, b = 9.090 Å, c = 9.090 Å
α = 55.29°, β = 74.27°, γ = 74.27°
Fractional positions:
Na 0.842 0.051 0.264
Na 0.858 0.467 0.818
Na 0.500 0.969 0.031
Na 0.654 0.469 0.223
Na 0.346 0.777 0.531
Na 0.158 0.736 0.949
Na 0.142 0.182 0.533
In 0.000 0.621 0.379
In 0.500 0.361 0.639
Hg 0.701 0.909 0.688
Hg 0.299 0.312 0.091

Results
As for the symmetry: Imm2. The value obtained for the uncorrected energy is -1.52 eV per atom. As for the formation energy: -0.12 eV/atom. The value obtained for the energy above the lowest structure with this stoichiometry is 4 meV/atom. Its crystal system is orthorhombic. The value obtained for the density of states at the Fermi level is 0.4245 states/eV/atom.

=====

2.
VASP calculation (PBE) on CeEr2ThSc4 after structural relaxation.

a = 5.411 Å, b = 5.405 Å, c = 9.308 Å
α = 54.48°, β = 90.00°, γ = 90.00°
Last column: magnetic moment on the atom in μB.
Fractional positions:
Ce 0.000 0.500 0.500  -0.43
Er 0.000 0.000 0.000  -0.01
Er 0.500 0.000 0.500  -0.01
Th 0.500 0.500 0.000  0.02
Sc 0.000 0.754 0.747  0.00
Sc 0.000 0.246 0.253  0.00
Sc 0.500 0.746 0.253  0.00
Sc 0.500 0.254 0.747  0.00

Results
As for the symmetry: P2/m. The value obtained for the uncorrected energy is -5.91 eV per atom. As for the formation energy: 0.07 eV/atom. Its crystal system is monoclinic. The value obtained for the density of states at the Fermi level is 1.4696 states/eV/atom.